Entry 1:
A crystal of La2NiAu relaxed with PBEsol. Source: the Alexandria database, functional meta-GGA SCAN.

ΔE_f, meV/atom: -484

```
data_La2NiAu
_chemical_formula_sum 'La2 Ni1 Au1'
_space_group_name_H-M_alt 'P 1'
_space_group_IT_number 1
_space_group_name_Hall 'P 1'
_cell_length_a 4.386
_cell_length_b 4.386
_cell_length_c 6.969
_cell_angle_alpha 71.66
_cell_angle_beta 71.66
_cell_angle_gamma 60.00
loop_
_atom_site_label
_atom_site_type_symbol
_atom_site_fract_x
_atom_site_fract_y
_atom_site_fract_z
Au1 Au 0.207 0.207 0.379
La1 La 0.785 0.785 0.644
La2 La 0.964 0.964 0.109
Ni1 Ni 0.544 0.544 0.368
```


Entry 2:
A crystal of Li2MnS2O8 relaxed with PBEsol. Source: the Alexandria database, functional meta-GGA SCAN.

Formation energy (no corrections), eV per formula unit: -26.0

```
data_Li2MnS2O8
_chemical_formula_sum 'Li4 Mn2 S4 O16'
_space_group_name_H-M_alt 'P 1'
_space_group_IT_number 1
_space_group_name_Hall 'P 1'
_cell_length_a 4.995
_cell_length_b 7.582
_cell_length_c 8.258
_cell_angle_alpha 90.00
_cell_angle_beta 90.00
_cell_angle_gamma 93.30
loop_
_atom_site_label
_atom_site_type_symbol
_atom_site_fract_x
_atom_site_fract_y
_atom_site_fract_z
O1 O 0.663 0.944 0.354
O2 O 0.195 0.866 0.298
O3 O 0.530 0.351 0.584
O4 O 0.448 0.255 0.863
O5 O 0.337 0.056 0.646
Li1 Li 0.413 0.396 0.368
S1 S 0.968 0.298 0.197
O6 O 0.030 0.851 0.916
O7 O 0.052 0.245 0.363
S2 S 0.468 0.798 0.303
S3 S 0.532 0.202 0.697
O8 O 0.837 0.556 0.854
O9 O 0.805 0.134 0.702
Li2 Li 0.087 0.104 0.868
O10 O 0.163 0.444 0.146
Li3 Li 0.913 0.896 0.132
O11 O 0.552 0.745 0.137
S4 S 0.032 0.702 0.803
O12 O 0.305 0.634 0.798
O13 O 0.470 0.649 0.416
O14 O 0.970 0.149 0.084
Li4 Li 0.587 0.604 0.632
Mn1 Mn 0.500 0.500 0.000
Mn2 Mn 0.000 0.000 0.500
O15 O 0.695 0.366 0.202
O16 O 0.948 0.755 0.637
```


Entry 3:
A crystal of YRuOF2 relaxed with PBEsol. Source: the Alexandria database, functional meta-GGA SCAN.

Formation energy (no corrections), eV per formula unit: -7.4

```
data_YRuOF2
_chemical_formula_sum 'Y1 Ru1 O1 F2'
_space_group_name_H-M_alt 'P 1'
_space_group_IT_number 1
_space_group_name_Hall 'P 1'
_cell_length_a 3.685
_cell_length_b 4.387
_cell_length_c 4.387
_cell_angle_alpha 90.00
_cell_angle_beta 90.00
_cell_angle_gamma 90.00
loop_
_atom_site_label
_atom_site_type_symbol
_atom_site_fract_x
_atom_site_fract_y
_atom_site_fract_z
F1 F 0.000 0.000 0.500
Y1 Y 0.500 0.500 0.500
Ru1 Ru 0.000 0.000 0.000
O1 O 0.500 0.000 0.000
F2 F 0.000 0.500 0.000
```


Entry 4:
A crystal of LaMgIr2 relaxed with PBEsol. Source: the Alexandria database, functional meta-GGA SCAN.

ΔE_f, meV/atom: -188

```
data_LaMgIr2
_chemical_formula_sum 'La1 Mg1 Ir2'
_space_group_name_H-M_alt 'P 1'
_space_group_IT_number 1
_space_group_name_Hall 'P 1'
_cell_length_a 4.045
_cell_length_b 4.045
_cell_length_c 5.346
_cell_angle_alpha 112.23
_cell_angle_beta 112.23
_cell_angle_gamma 90.00
loop_
_atom_site_label
_atom_site_type_symbol
_atom_site_fract_x
_atom_site_fract_y
_atom_site_fract_z
La1 La 0.500 0.500 0.000
Ir1 Ir 0.000 0.000 0.000
Ir2 Ir 0.750 0.250 0.500
Mg1 Mg 0.250 0.750 0.500
```


Entry 5:
A crystal of MnCoSi2 relaxed with PBEsol. Source: the Alexandria database, functional meta-GGA SCAN.

Formation energy (no corrections), eV per formula unit: -1.7
Distance to the lowest polymorph of the same formula, eV/atom: 0.0386

```
data_MnCoSi2
_chemical_formula_sum 'Mn1 Co1 Si2'
_space_group_name_H-M_alt 'P 1'
_space_group_IT_number 1
_space_group_name_Hall 'P 1'
_cell_length_a 2.766
_cell_length_b 2.766
_cell_length_c 5.457
_cell_angle_alpha 90.00
_cell_angle_beta 90.00
_cell_angle_gamma 90.00
loop_
_atom_site_label
_atom_site_type_symbol
_atom_site_fract_x
_atom_site_fract_y
_atom_site_fract_z
Si1 Si 0.000 0.000 0.742
Mn1 Mn 0.500 0.500 0.500
Si2 Si 0.000 0.000 0.258
Co1 Co 0.500 0.500 0.000
```


Entry 6:
A crystal of CaTiZnCl2 relaxed with PBEsol. Source: the Alexandria database, functional meta-GGA SCAN.

Formation energy (no corrections), eV per formula unit: -3.7

```
data_CaTiZnCl2
_chemical_formula_sum 'Ca1 Ti1 Zn1 Cl2'
_space_group_name_H-M_alt 'P 1'
_space_group_IT_number 1
_space_group_name_Hall 'P 1'
_cell_length_a 4.660
_cell_length_b 4.660
_cell_length_c 5.211
_cell_angle_alpha 90.00
_cell_angle_beta 90.00
_cell_angle_gamma 90.00
loop_
_atom_site_label
_atom_site_type_symbol
_atom_site_fract_x
_atom_site_fract_y
_atom_site_fract_z
Cl1 Cl 0.000 0.500 0.000
Zn1 Zn 0.000 0.000 0.500
Ca1 Ca 0.500 0.500 0.500
Ti1 Ti 0.000 0.000 0.000
Cl2 Cl 0.500 0.000 0.000
```